[1]
# Cs2PaIrO6

Crystalline Cs2PaIrO6 at its relaxed geometry (PBE, Alexandria).

space group = R-3m (166)
ΔE_f (raw) = -1.96 eV per atom
calculated volume = 17.32 Å³/atom

Geometry as POSCAR:
```
Cs2PaIrO6
1.0
3.1671 1.8286 9.9717
-3.1671 1.8286 9.9717
0.0000 -3.6571 9.9717
Cs Pa Ir O
4 2 2 12
direct
0.1329 0.1329 0.1329
0.2801 0.2801 0.2801
0.7199 0.7199 0.7199
0.8671 0.8671 0.8671
0.4033 0.4033 0.4033
0.5967 0.5967 0.5967
0.0000 0.0000 0.0000
0.5000 0.5000 0.5000
0.1769 0.5976 0.5976
0.1922 0.1922 0.7255
0.1922 0.7255 0.1922
0.2745 0.8078 0.8078
0.4024 0.4024 0.8231
0.4024 0.8231 0.4024
0.5976 0.1769 0.5976
0.5976 0.5976 0.1769
0.7255 0.1922 0.1922
0.8078 0.2745 0.8078
0.8078 0.8078 0.2745
0.8231 0.4024 0.4024
```


[2]
# Cs2PaIr3O12

Crystalline Cs2PaIr3O12 at its relaxed geometry (PBE, Alexandria).

space group = R-3m (166)
ΔE_f (raw) = -1.45 eV per atom
calculated volume = 16.32 Å³/atom

Geometry as POSCAR:
```
Cs2PaIr3O12
1.0
3.6475 2.1059 6.3737
-3.6475 2.1059 6.3737
0.0000 -4.2117 6.3737
Cs Pa Ir O
2 1 3 12
direct
0.1171 0.1171 0.1171
0.8829 0.8829 0.8829
0.5000 0.5000 0.5000
0.0000 0.5000 0.5000
0.5000 0.0000 0.5000
0.5000 0.5000 0.0000
0.1558 0.5739 0.5739
0.1919 0.1919 0.5788
0.1919 0.5788 0.1919
0.4212 0.8081 0.8081
0.4261 0.4261 0.8442
0.4261 0.8442 0.4261
0.5739 0.1558 0.5739
0.5739 0.5739 0.1558
0.5788 0.1919 0.1919
0.8081 0.4212 0.8081
0.8081 0.8081 0.4212
0.8442 0.4261 0.4261
```


[3]
# CsPaIrO4

Crystalline CsPaIrO4 at its relaxed geometry (PBE, Alexandria).

space group = Imma (74)
ΔE_f (raw) = -1.99 eV per atom
calculated volume = 18.36 Å³/atom

Geometry as POSCAR:
```
CsPaIrO4
1.0
-2.8691 3.4537 6.4832
2.8691 -3.4537 6.4832
2.8691 3.4537 -6.4832
Cs Pa Ir O
2 2 2 8
direct
0.4326 0.1826 0.2500
0.5674 0.8174 0.7500
0.0000 0.5000 0.5000
0.5000 0.5000 0.0000
0.0000 0.0000 0.5000
0.0000 0.5000 0.0000
0.1066 0.6793 0.4273
0.2481 0.3207 0.9273
0.2656 0.2971 0.5314
0.2656 0.7342 0.9686
0.7344 0.2658 0.0314
0.7344 0.7029 0.4686
0.7519 0.6793 0.0727
0.8934 0.3207 0.5727
```


[4]
# CsPaIr2O8

Crystalline CsPaIr2O8 at its relaxed geometry (PBE, Alexandria).

space group = P-3 (147)
ΔE_f (raw) = -1.39 eV per atom
calculated volume = 21.72 Å³/atom

Geometry as POSCAR:
```
CsPaIr2O8
1.0
5.8254 0.0000 0.0000
-2.9127 5.0450 0.0000
0.0000 0.0000 8.8670
Cs Pa Ir O
1 1 2 8
direct
0.0000 0.0000 0.0000
0.0000 0.0000 0.5000
0.3333 0.6667 0.7479
0.6667 0.3333 0.2521
0.1272 0.3400 0.6459
0.2128 0.8728 0.6459
0.3333 0.6667 0.9466
0.3400 0.2128 0.3541
0.6600 0.7872 0.6459
0.6667 0.3333 0.0534
0.7872 0.1272 0.3541
0.8728 0.6600 0.3541
```


What are the DOS(E_F) values for these records? In order: 0.4941; 0.7892; 0.2413; 0.1263 states/eV/atom.